# 1
# GGA-PBE PrNd6, relaxed
# total moment	0.0	μB per formula unit
# formation energy	118	meV/atom
# crystal system	trigonal
# energy above the most stable polymorph in this dataset	0	kJ/mol of formula units
data_PrNd6
_chemical_formula_sum 'Pr3 Nd18'
_space_group_name_H-M_alt 'R -3'
_space_group_IT_number 148
_space_group_name_Hall '-R 3'
_cell_length_a 15.4280
_cell_length_b 15.4280
_cell_length_c 3.6253
_cell_angle_alpha 90.00
_cell_angle_beta 90.00
_cell_angle_gamma 120.00
loop_
_atom_site_label
_atom_site_type_symbol
_atom_site_fract_x
_atom_site_fract_y
_atom_site_fract_z
_atom_site_occupancy
Pr1 Pr 0.0000 0.0000 0.0000 1
Nd1 Nd 0.0356 0.2318 0.7303 1

# 2
# GGA-PBE PHWI2, relaxed
# total moment	1.9	μB per formula unit
# final energy	-3.67	eV/atom
# crystal system	tetragonal
data_PHWI2
_chemical_formula_sum 'P1 H1 W1 I2'
_space_group_name_H-M_alt 'P 4/m m m'
_space_group_IT_number 123
_space_group_name_Hall '-P 4 2'
_cell_length_a 5.373
_cell_length_b 5.373
_cell_length_c 3.338
_cell_angle_alpha 90.00
_cell_angle_beta 90.00
_cell_angle_gamma 90.00
loop_
_atom_site_label
_atom_site_type_symbol
_atom_site_fract_x
_atom_site_fract_y
_atom_site_fract_z
_atom_site_occupancy
P1 P 0.000 0.000 0.000 1
H1 H 0.000 0.000 0.500 1
W1 W 0.500 0.500 0.500 1
I1 I 0.000 0.500 0.000 1

# 3
# GGA-PBE TbYGaPb, relaxed
# total moment	0.0	μB per formula unit
# formation energy	-446	meV/atom
# crystal system	cubic
data_TbYGaPb
_chemical_formula_sum 'Tb4 Y4 Ga4 Pb4'
_space_group_name_H-M_alt 'F -4 3 m'
_space_group_IT_number 216
_space_group_name_Hall 'F -4 2 3'
_cell_length_a 7.476
_cell_length_b 7.476
_cell_length_c 7.476
_cell_angle_alpha 90.00
_cell_angle_beta 90.00
_cell_angle_gamma 90.00
loop_
_atom_site_label
_atom_site_type_symbol
_atom_site_fract_x
_atom_site_fract_y
_atom_site_fract_z
_atom_site_occupancy
Tb1 Tb 0.000 0.000 0.000 1
Y1 Y 0.000 0.000 0.500 1
Ga1 Ga 0.250 0.250 0.750 1
Pb1 Pb 0.250 0.250 0.250 1

# 4
# GGA-PBE CeAgSe, relaxed
# total moment	1.2	μB per formula unit
# formation energy (no corrections)	-0.93	eV/atom
# crystal system	orthorhombic
data_CeAgSe
_chemical_formula_sum 'Ce4 Ag4 Se4'
_space_group_name_H-M_alt 'C m c m'
_space_group_IT_number 63
_space_group_name_Hall '-C 2c 2'
_cell_length_a 3.789
_cell_length_b 17.478
_cell_length_c 4.561
_cell_angle_alpha 90.00
_cell_angle_beta 90.00
_cell_angle_gamma 90.00
loop_
_atom_site_label
_atom_site_type_symbol
_atom_site_fract_x
_atom_site_fract_y
_atom_site_fract_z
_atom_site_occupancy
Ce1 Ce 0.000 0.140 0.250 1
Ag1 Ag 0.000 0.464 0.250 1
Se1 Se 0.000 0.315 0.250 1

# 5
# GGA-PBE Na3ScTl, relaxed
# total moment	1.5	μB per formula unit
# formation energy	821	meV/atom
# crystal system	cubic
# energy above the most stable polymorph in this dataset	117	kJ/mol of formula units
data_Na3ScTl
_chemical_formula_sum 'Na3 Sc1 Tl1'
_space_group_name_H-M_alt 'P m -3 m'
_space_group_IT_number 221
_space_group_name_Hall '-P 4 2 3'
_cell_length_a 6.153
_cell_length_b 6.153
_cell_length_c 6.153
_cell_angle_alpha 90.00
_cell_angle_beta 90.00
_cell_angle_gamma 90.00
loop_
_atom_site_label
_atom_site_type_symbol
_atom_site_fract_x
_atom_site_fract_y
_atom_site_fract_z
_atom_site_occupancy
Na1 Na 0.000 0.000 0.500 1
Sc1 Sc 0.000 0.000 0.000 1
Tl1 Tl 0.500 0.500 0.500 1

# 6
# GGA-PBE NaTl3Pd, relaxed
# total moment	0.0	μB per formula unit
# formation energy	-33	meV/atom
# crystal system	cubic
# energy above the most stable polymorph in this dataset	42	kJ/mol of formula units
data_NaTl3Pd
_chemical_formula_sum 'Na1 Tl3 Pd1'
_space_group_name_H-M_alt 'P m -3 m'
_space_group_IT_number 221
_space_group_name_Hall '-P 4 2 3'
_cell_length_a 5.400
_cell_length_b 5.400
_cell_length_c 5.400
_cell_angle_alpha 90.00
_cell_angle_beta 90.00
_cell_angle_gamma 90.00
loop_
_atom_site_label
_atom_site_type_symbol
_atom_site_fract_x
_atom_site_fract_y
_atom_site_fract_z
_atom_site_occupancy
Na1 Na 0.000 0.000 0.000 1
Tl1 Tl 0.000 0.500 0.500 1
Pd1 Pd 0.500 0.500 0.500 1

# 7
# GGA-PBE NaV3Tc, relaxed
# total moment	2.0	μB per formula unit
# formation energy	2304	meV/atom
# crystal system	cubic
# energy above the most stable polymorph in this dataset	588	kJ/mol of formula units
data_NaV3Tc
_chemical_formula_sum 'Na1 V3 Tc1'
_space_group_name_H-M_alt 'P m -3 m'
_space_group_IT_number 221
_space_group_name_Hall '-P 4 2 3'
_cell_length_a 4.344
_cell_length_b 4.344
_cell_length_c 4.344
_cell_angle_alpha 90.00
_cell_angle_beta 90.00
_cell_angle_gamma 90.00
loop_
_atom_site_label
_atom_site_type_symbol
_atom_site_fract_x
_atom_site_fract_y
_atom_site_fract_z
_atom_site_occupancy
Na1 Na 0.000 0.000 0.000 1
V1 V 0.000 0.000 0.500 1
Tc1 Tc 0.500 0.500 0.500 1

# 8
# GGA-PBE Ti6Al2C, relaxed
# total moment	2.0	μB per formula unit
# formation energy	-403	meV/atom
# crystal system	tetragonal
# energy above the most stable polymorph in this dataset	0	kJ/mol of formula units
data_Ti6Al2C
_chemical_formula_sum 'Ti12 Al4 C2'
_space_group_name_H-M_alt 'I 4/m m m'
_space_group_IT_number 139
_space_group_name_Hall '-I 4 2'
_cell_length_a 5.837
_cell_length_b 5.837
_cell_length_c 8.233
_cell_angle_alpha 90.00
_cell_angle_beta 90.00
_cell_angle_gamma 90.00
loop_
_atom_site_label
_atom_site_type_symbol
_atom_site_fract_x
_atom_site_fract_y
_atom_site_fract_z
_atom_site_occupancy
Ti1 Ti 0.000 0.000 0.244 1
Ti2 Ti 0.245 0.245 0.000 1
Al1 Al 0.000 0.500 0.250 1
C1 C 0.000 0.000 0.500 1